Below is a relaxed structure of LaCoOs2, with properties calculated at the PBE level.

ΔE_f	203	kJ/mol of formula units
total energy	-32.4	eV/f.u.
ΔE to the lowest computed polymorph	498	meV/atom
density of states at the Fermi level	10.05	states/eV per cell

```
LaCoOs2
1.0
-2.382 2.382 8.110
2.382 -2.382 8.110
2.382 2.382 -8.110
La Co Os
2 2 4
direct
0.000 0.000 0.000
0.750 0.250 0.500
0.250 0.750 0.500
0.500 0.500 0.000
0.341 0.625 0.216
0.375 0.591 0.716
0.409 0.125 0.784
0.875 0.659 0.284
```

Below is a relaxed structure of La6Co2Os, with properties calculated at the PBE level.

ΔE_f	-66	kJ/mol of formula units
total energy	-55.7	eV/f.u.
density of states at the Fermi level	6.77	states/eV per cell

```
La6Co2Os
1.0
4.149 0.000 0.000
0.001 6.812 0.000
2.066 3.140 9.841
La Co Os
6 2 1
direct
0.079 0.249 0.330
0.254 0.766 0.995
0.418 0.248 0.665
0.582 0.752 0.335
0.746 0.234 0.005
0.921 0.751 0.670
0.166 0.032 0.169
0.834 0.968 0.831
0.000 0.500 0.500
```